# meta-GGA SCAN YZrIn, PBEsol geometry
# density: 5831 kg/m3
# crystal system: cubic
# ΔH_f (0 K): 0.0148 eV per atom
# DFT total energy: -30.628 eV/atom
data_YZrIn
_chemical_formula_sum 'Y4 Zr4 In4'
_cell_length_a 6.952
_cell_length_b 6.952
_cell_length_c 6.952
_cell_angle_alpha 90.00
_cell_angle_beta 90.00
_cell_angle_gamma 90.00
_space_group_name_H-M_alt 'F -4 3 m'
_space_group_IT_number 216
_space_group_name_Hall 'F -4 2 3'
loop_
_atom_site_label
_atom_site_type_symbol
_atom_site_fract_x
_atom_site_fract_y
_atom_site_fract_z
Y1 Y 0.000 0.000 0.000
Zr1 Zr 0.000 0.000 0.500
In1 In 0.250 0.250 0.750